(1)
Here is an optimized crystal structure of SrAc12La3 from Alexandria. Energies are from PBE.

Cell and atoms, written as POSCAR:
```
SrAc12La3
1.0
-2.648 -4.328 2.386
1.246 -3.204 -4.429
19.054 -6.221 9.860
Sr Ac La
1 12 3
Direct
0.000 0.000 0.000 Sr
0.500 0.500 0.000 Ac
0.500 0.500 0.252 Ac
0.500 0.500 0.500 Ac
0.500 0.500 0.748 Ac
0.500 0.000 0.131 Ac
0.500 0.000 0.376 Ac
0.500 0.000 0.624 Ac
0.500 0.000 0.869 Ac
0.000 0.500 0.131 Ac
0.000 0.500 0.376 Ac
0.000 0.500 0.624 Ac
0.000 0.500 0.869 Ac
0.000 0.000 0.252 La
0.000 0.000 0.500 La
0.000 0.000 0.748 La
```

Computed properties:
* volume: 43.882 A^3/atom
* formation energy: 0.44 eV/f.u.

***

(2)
Here is an optimized crystal structure of SbBr2F5 from Alexandria. Energies are from PBE.

Cell and atoms, written as POSCAR:
```
SbBr2F5
1.0
4.324 -0.468 2.267
1.615 6.630 0.804
-0.589 -0.269 6.584
Sb Br F
1 2 5
Direct
0.899 0.001 0.001 Sb
0.690 0.501 0.562 Br
0.222 0.494 0.434 Br
0.880 0.996 0.291 F
0.974 0.722 0.997 F
0.867 0.278 0.005 F
0.180 0.997 0.710 F
0.511 0.010 0.001 F
```

Computed properties:
* volume: 25.347 A^3/atom
* raw formation energy: -1.61 eV/atom

***

volume of number 1 (SrAc12La3)?
43.882 A^3/atom

***

Among the records above, which one has the lowest volume?
SbBr2F5

***

What is the volume in the first record?
43.882 A^3/atom